Entry from Alexandria: crystalline Tl2RuW3O12 at its relaxed geometry (PBE with a Hubbard U). Values from VASP.

Quantum ESPRESSO input file:
```
&SYSTEM
  ibrav = 0, nat = 18, ntyp = 4
/
ATOMIC_SPECIES
Tl 204.38 Tl.upf
O 16.00 O.upf
Ru 101.07 Ru.upf
W 183.84 W.upf
ATOMIC_POSITIONS crystal
Tl 0.350 0.350 0.350
O 0.688 0.057 0.688
Tl 0.650 0.650 0.650
O 0.064 0.682 0.064
O 0.688 0.688 0.057
O 0.318 0.936 0.936
Ru 0.000 0.000 0.000
O 0.057 0.688 0.688
O 0.936 0.318 0.936
O 0.936 0.936 0.318
W 0.500 0.000 0.000
O 0.312 0.312 0.943
W 0.000 0.000 0.500
O 0.682 0.064 0.064
O 0.312 0.943 0.312
W 0.000 0.500 0.000
O 0.943 0.312 0.312
O 0.064 0.064 0.682
CELL_PARAMETERS angstrom
7.334 -0.011 -0.007
3.613 6.382 -0.007
3.613 2.103 6.026
```

total magnetization	0.111	μB per atom
energy	-124.34	eV/cell
calculated density	7.4	g/cm3